(1)
Here is a relaxed structure of TbMgTeAuS2 from OQMD via LeMat-Bulk. Energies are from PBE.

- SG = Cmcm, No. 63
- uncorrected energy (eV per atom) = -4.49

Unit cell a=6.8008 b=6.8008 c=11.4233 alpha=90.00 beta=90.00 gamma=146.22
Sites, in units of the cell vectors:
S  0.8617  0.1383  0.9449
S  0.8617  0.1383  0.5551
S  0.1383  0.8617  0.0551
S  0.1383  0.8617  0.4449
Au  0.9273  0.0727  0.7500
Au  0.0727  0.9273  0.2500
Tb  0.5000  0.5000  0.5000
Tb  0.5000  0.5000  0.0000
Te  0.3888  0.6112  0.2500
Te  0.6112  0.3888  0.7500
Mg  0.7287  0.2713  0.2500
Mg  0.2713  0.7287  0.7500

=====

(2)
Here is a relaxed structure of TmMgTeAuS2 from OQMD via LeMat-Bulk. Energies are from PBE.

- SG = Cmcm, No. 63
- uncorrected energy (eV per atom) = -4.45

Unit cell a=6.7984 b=6.7984 c=11.3249 alpha=90.00 beta=90.00 gamma=146.51
Sites, in units of the cell vectors:
S  0.8646  0.1354  0.0512
S  0.1354  0.8646  0.5512
S  0.1354  0.8646  0.9488
S  0.8646  0.1354  0.4488
Tm  0.5000  0.5000  0.0000
Tm  0.5000  0.5000  0.5000
Mg  0.7312  0.2688  0.7500
Mg  0.2688  0.7312  0.2500
Au  0.0766  0.9234  0.7500
Au  0.9234  0.0766  0.2500
Te  0.6090  0.3910  0.2500
Te  0.3910  0.6090  0.7500

=====

(3)
Here is a relaxed structure of YMgTeAuS2 from OQMD via LeMat-Bulk. Energies are from PBE.

- SG = Cmcm, No. 63
- uncorrected energy (eV per atom) = -4.80

Unit cell a=6.8023 b=6.8023 c=11.4353 alpha=90.00 beta=90.00 gamma=146.24
Sites, in units of the cell vectors:
S  0.1375  0.8625  0.9457
S  0.8625  0.1375  0.0543
S  0.8625  0.1375  0.4457
S  0.1375  0.8625  0.5543
Y  0.5000  0.5000  0.5000
Y  0.5000  0.5000  0.0000
Te  0.6104  0.3896  0.2500
Te  0.3896  0.6104  0.7500
Au  0.9247  0.0753  0.2500
Au  0.0753  0.9247  0.7500
Mg  0.7304  0.2696  0.7500
Mg  0.2696  0.7304  0.2500

=====

(4)
Here is a relaxed structure of MgSbAu from OQMD via LeMat-Bulk. Energies are from PBE.

- SG = P6_3mc, No. 186
- uncorrected energy (eV per atom) = -3.32

Unit cell a=4.5199 b=4.5199 c=7.7602 alpha=90.00 beta=90.00 gamma=120.00
Sites, in units of the cell vectors:
Mg  0.0000  0.0000  0.2113
Mg  0.0000  0.0000  0.7113
Sb  0.6667  0.3333  0.9486
Sb  0.3333  0.6667  0.4486
Au  0.6667  0.3333  0.5901
Au  0.3333  0.6667  0.0901

=====

(5)
Here is a relaxed structure of MgSbAu from OQMD via LeMat-Bulk. Energies are from PBE.

- SG = Pnma, No. 62
- uncorrected energy (eV per atom) = -3.25

Unit cell a=7.4641 b=4.3936 c=8.1033 alpha=90.00 beta=90.00 gamma=90.00
Sites, in units of the cell vectors:
Mg  0.0583  0.2500  0.7503
Mg  0.4417  0.7500  0.2503
Mg  0.5583  0.2500  0.7497
Mg  0.9417  0.7500  0.2497
Au  0.8960  0.7500  0.9050
Au  0.3960  0.7500  0.5950
Au  0.1040  0.2500  0.0950
Au  0.6040  0.2500  0.4050
Sb  0.7938  0.7500  0.5719
Sb  0.2938  0.7500  0.9281
Sb  0.7062  0.2500  0.0719
Sb  0.2062  0.2500  0.4281

=====

(6)
Here is a relaxed structure of Mg3SbAu from OQMD via LeMat-Bulk. Energies are from PBE.

- SG = Cmcm, No. 63
- uncorrected energy (eV per atom) = -2.70

Unit cell a=7.0515 b=7.0515 c=6.4629 alpha=90.00 beta=90.00 gamma=136.50
Sites, in units of the cell vectors:
Mg  0.6724  0.3276  0.5065
Mg  0.0923  0.9077  0.2500
Mg  0.3276  0.6724  0.0065
Mg  0.9077  0.0923  0.7500
Mg  0.6724  0.3276  0.9935
Mg  0.3276  0.6724  0.4935
Sb  0.1391  0.8609  0.7500
Sb  0.8609  0.1391  0.2500
Au  0.5112  0.4888  0.2500
Au  0.4888  0.5112  0.7500

=====

(7)
Here is a relaxed structure of MgSbAu from OQMD via LeMat-Bulk. Energies are from PBE.

- SG = Pnma, No. 62
- uncorrected energy (eV per atom) = -3.20

Unit cell a=7.4155 b=3.5108 c=10.1913 alpha=90.00 beta=90.00 gamma=90.00
Sites, in units of the cell vectors:
Mg  0.7257  0.7500  0.3821
Mg  0.7743  0.2500  0.8821
Mg  0.2257  0.7500  0.1179
Mg  0.2743  0.2500  0.6179
Sb  0.8908  0.2500  0.1741
Sb  0.6092  0.7500  0.6741
Sb  0.3908  0.2500  0.3259
Sb  0.1092  0.7500  0.8259
Au  0.1160  0.7500  0.4296
Au  0.8840  0.2500  0.5704
Au  0.3840  0.2500  0.9296
Au  0.6160  0.7500  0.0704

=====

(8)
Here is a relaxed structure of MgSbAu from OQMD via LeMat-Bulk. Energies are from PBE.

- SG = P6_3/mmc, No. 194
- uncorrected energy (eV per atom) = -3.12

Unit cell a=4.6326 b=4.6326 c=7.5761 alpha=90.00 beta=90.00 gamma=120.00
Sites, in units of the cell vectors:
Mg  0.0000  0.0000  0.5000
Mg  0.0000  0.0000  0.0000
Au  0.6667  0.3333  0.2500
Au  0.3333  0.6667  0.7500
Sb  0.6667  0.3333  0.7500
Sb  0.3333  0.6667  0.2500

=====

(9)
Here is a relaxed structure of MgSbAu from OQMD via LeMat-Bulk. Energies are from PBE.

- SG = Pnma, No. 62
- uncorrected energy (eV per atom) = -3.21

Unit cell a=7.1155 b=4.3285 c=8.7748 alpha=90.00 beta=90.00 gamma=90.00
Sites, in units of the cell vectors:
Mg  0.5338  0.2500  0.1675
Mg  0.0338  0.2500  0.3325
Mg  0.9662  0.7500  0.6675
Mg  0.4662  0.7500  0.8325
Sb  0.3366  0.7500  0.4329
Sb  0.1634  0.2500  0.9329
Sb  0.8366  0.7500  0.0671
Sb  0.6634  0.2500  0.5671
Au  0.7783  0.7500  0.3768
Au  0.2783  0.7500  0.1232
Au  0.2217  0.2500  0.6232
Au  0.7217  0.2500  0.8768

=====

(10)
Here is a relaxed structure of MgSbAu from OQMD via LeMat-Bulk. Energies are from PBE.

- SG = P-62m, No. 189
- uncorrected energy (eV per atom) = -3.27

Unit cell a=7.4916 b=7.4916 c=4.0386 alpha=90.00 beta=90.00 gamma=120.00
Sites, in units of the cell vectors:
Mg  0.3968  0.3968  0.5000
Mg  0.6032  0.0000  0.5000
Mg  0.0000  0.6032  0.5000
Sb  0.2763  0.0000  0.0000
Sb  0.7237  0.7237  0.0000
Sb  0.0000  0.2763  0.0000
Au  0.6667  0.3333  0.0000
Au  0.0000  0.0000  0.5000
Au  0.3333  0.6667  0.0000

=====

(11)
Here is a relaxed structure of MgScAu2 from OQMD via LeMat-Bulk. Energies are from PBE.

- SG = P6_3/mmc, No. 194
- uncorrected energy (eV per atom) = -4.30

Unit cell a=4.5603 b=4.5603 c=8.5950 alpha=90.00 beta=90.00 gamma=120.00
Sites, in units of the cell vectors:
Sc  0.6667  0.3333  0.7500
Sc  0.3333  0.6667  0.2500
Au  0.3333  0.6667  0.5868
Au  0.6667  0.3333  0.0868
Au  0.6667  0.3333  0.4132
Au  0.3333  0.6667  0.9132
Mg  0.0000  0.0000  0.5000
Mg  0.0000  0.0000  0.0000

=====

(12)
Here is a relaxed structure of MgScAu2 from OQMD via LeMat-Bulk. Energies are from PBE.

- SG = P6_3/mmc, No. 194
- uncorrected energy (eV per atom) = -3.86

Unit cell a=4.7788 b=4.7788 c=8.1810 alpha=90.00 beta=90.00 gamma=120.00
Sites, in units of the cell vectors:
Au  0.3333  0.6667  0.4169
Au  0.3333  0.6667  0.0831
Au  0.6667  0.3333  0.5831
Au  0.6667  0.3333  0.9169
Sc  0.6667  0.3333  0.2500
Sc  0.3333  0.6667  0.7500
Mg  0.0000  0.0000  0.7500
Mg  0.0000  0.0000  0.2500